Here is an optimized crystal structure of Sc4Te5Se from Alexandria. Energies are from PBE-GGA.

```
Sc4Te5Se
1.0
4.036 0.000 0.000
0.000 8.268 -0.356
-2.018 -1.556 8.745
Sc Te Se
4 5 1
direct
0.335 0.915 0.670
0.998 0.752 0.996
0.665 0.085 0.330
0.002 0.248 0.004
0.835 0.669 0.671
0.834 0.172 0.668
0.166 0.828 0.332
0.500 0.500 0.000
0.165 0.331 0.329
0.500 0.000 0.000
```

Summary:
**Energy**: -56.82 eV per formula unit
**Space-group type**: C2/m, No. 12
**Size of the total moment**: 0.00 μB per cell
**E_form (uncorrected)**: -1230 meV per atom